[1]
# LiRe2Rh

A geometry-optimized LiRe2Rh structure (PBE-GGA, Alexandria via LeMat-Bulk).

Values from the calculation:
E = -8.4549 eV per atom
magnetic moment = 0.0 Bohr magnetons per cell
energy of formation = 85 meV per atom

Unit cell a=3.056 b=3.056 c=5.887 alpha=90.00 beta=90.00 gamma=90.00
Fractional coordinates of all 4 atoms:
Re 0.500 0.500 0.234
Li 0.500 0.500 0.740
Rh 0.000 0.000 0.532
Re 0.000 0.000 0.993

[2]
# Li2ReRh

A geometry-optimized Li2ReRh structure (PBE-GGA, Alexandria via LeMat-Bulk).

Values from the calculation:
E = -5.6976 eV per atom
magnetic moment = 0.0 Bohr magnetons per cell
energy of formation = 209 meV per atom

Unit cell a=2.611 b=4.378 c=4.930 alpha=90.00 beta=90.00 gamma=90.00
Fractional coordinates of all 4 atoms:
Re 0.500 0.500 0.250
Rh 0.500 0.500 0.750
Li 0.000 0.000 0.502
Li 0.000 0.000 0.998